[1]
Below is an optimized crystal structure of Ce2YZn2Ge2, with properties calculated at the PBE-GGA level.

```
data_Ce2YZn2Ge2
_cell_length_a 4.299
_cell_length_b 4.299
_cell_length_c 9.518
_cell_angle_alpha 76.95
_cell_angle_beta 76.95
_cell_angle_gamma 60.00
_symmetry_space_group_name_H-M 'P 1'
_symmetry_Int_Tables_number 1
_symmetry_space_group_name_Hall 'P 1'
loop_
_atom_site_label
_atom_site_fract_x
_atom_site_fract_y
_atom_site_fract_z
_atom_site_occupancy
Ce1 0.141 0.141 0.576 1
Ce2 0.859 0.859 0.424 1
Y1 0.000 0.000 0.000 1
Zn1 0.594 0.594 0.218 1
Zn2 0.406 0.406 0.782 1
Ge1 0.734 0.734 0.799 1
Ge2 0.266 0.266 0.201 1
```

Symmetry ... R-3m
E ... -33.06 eV per formula unit
Energy of formation from the pure elements ... -0.421 eV per atom
N(E_F) ... 10.64 states/eV per cell

=====

[2]
Below is an optimized crystal structure of Pa2AlCo2, with properties calculated at the PBE-GGA level.

```
data_Pa2AlCo2
_cell_length_a 4.312
_cell_length_b 5.110
_cell_length_c 5.110
_cell_angle_alpha 64.69
_cell_angle_beta 65.04
_cell_angle_gamma 65.04
_symmetry_space_group_name_H-M 'P 1'
_symmetry_Int_Tables_number 1
_symmetry_space_group_name_Hall 'P 1'
loop_
_atom_site_label
_atom_site_fract_x
_atom_site_fract_y
_atom_site_fract_z
_atom_site_occupancy
Pa1 0.803 0.697 0.697 1
Pa2 0.197 0.303 0.303 1
Al1 0.000 0.000 0.000 1
Co1 0.500 0.253 0.747 1
Co2 0.500 0.747 0.253 1
```

Symmetry ... Immm
E ... -39.15 eV per formula unit
Energy of formation from the pure elements ... -0.441 eV per atom
N(E_F) ... 5.18 states/eV per cell

=====

[3]
Below is an optimized crystal structure of ZnGeN2, with properties calculated at the PBE-GGA level.

```
data_ZnGeN2
_cell_length_a 5.987
_cell_length_b 5.987
_cell_length_c 5.987
_cell_angle_alpha 29.75
_cell_angle_beta 29.75
_cell_angle_gamma 29.75
_symmetry_space_group_name_H-M 'P 1'
_symmetry_Int_Tables_number 1
_symmetry_space_group_name_Hall 'P 1'
loop_
_atom_site_label
_atom_site_fract_x
_atom_site_fract_y
_atom_site_fract_z
_atom_site_occupancy
Ge1 0.500 0.500 0.500 1
Zn1 0.000 0.000 0.000 1
N1 0.892 0.892 0.892 1
N2 0.108 0.108 0.108 1
```

Symmetry ... R-3m
ΔE_f (raw) ... 0.24 eV per atom
E ... -21.58 eV per formula unit
N(E_F) ... 0.00 states/eV per cell

=====

[4]
Below is an optimized crystal structure of AcSb3Ir3, with properties calculated at the PBE-GGA level.

```
data_AcSb3Ir3
_cell_length_a 7.223
_cell_length_b 7.223
_cell_length_c 7.223
_cell_angle_alpha 90.00
_cell_angle_beta 90.00
_cell_angle_gamma 90.00
_symmetry_space_group_name_H-M 'P 1'
_symmetry_Int_Tables_number 1
_symmetry_space_group_name_Hall 'P 1'
loop_
_atom_site_label
_atom_site_fract_x
_atom_site_fract_y
_atom_site_fract_z
_atom_site_occupancy
Sb1 0.250 0.000 0.500 1
Sb2 0.000 0.500 0.250 1
Sb3 0.500 0.750 0.000 1
Sb4 0.750 0.000 0.500 1
Sb5 0.000 0.500 0.750 1
Sb6 0.500 0.250 0.000 1
Ac1 0.500 0.500 0.500 1
Ac2 0.000 0.000 0.000 1
Ir1 0.000 0.250 0.500 1
Ir2 0.000 0.750 0.500 1
Ir3 0.500 0.000 0.750 1
Ir4 0.750 0.500 0.000 1
Ir5 0.500 0.000 0.250 1
Ir6 0.250 0.500 0.000 1
```

Symmetry ... Pm-3n
ΔE_f (raw) ... -0.14 eV per atom
E ... -44.00 eV per formula unit
N(E_F) ... 12.97 states/eV per cell